<one>
NbH4: optimized geometry, PBE.

Geometry as POSCAR:
```
NbH4
1.0
2.7732 -1.6274 0.0000
2.7732 1.6274 0.0000
-1.9206 0.0000 7.9381
Nb H
2 8
Direct
0.2177 0.2177 0.1543
0.7823 0.7823 0.8457
0.1415 0.1415 0.9148
0.1912 0.1912 0.3908
0.3435 0.3435 0.4033
0.4183 0.4183 0.7645
0.5817 0.5817 0.2355
0.6565 0.6565 0.5967
0.8088 0.8088 0.6092
0.8585 0.8585 0.0852
```

Summary:
**Total moment**: 0.000 μB/atom

<two>
NbH4: optimized geometry, PBE.

Geometry as POSCAR:
```
NbH4
1.0
10.1989 0.0000 0.0000
0.0000 3.2483 0.0000
0.0000 0.0000 3.6836
Nb H
4 16
Direct
0.1392 0.2500 0.0072
0.3608 0.7500 0.5072
0.6392 0.2500 0.4928
0.8608 0.7500 0.9928
0.0388 0.7500 0.8298
0.0840 0.2500 0.5045
0.1649 0.7500 0.2800
0.2022 0.7500 0.7649
0.2978 0.2500 0.2649
0.3351 0.2500 0.7800
0.4160 0.7500 0.0045
0.4612 0.2500 0.3298
0.5388 0.7500 0.6702
0.5840 0.2500 0.9955
0.6649 0.7500 0.2200
0.7022 0.7500 0.7351
0.7978 0.2500 0.2351
0.8351 0.2500 0.7200
0.9160 0.7500 0.4955
0.9612 0.2500 0.1702
```

Summary:
**Total moment**: 0.000 μB/atom

The structure with the least stability is <two>.

<one>
NbH4: optimized geometry, PBE.

Geometry as POSCAR:
```
NbH4
1.0
5.5923 0.0000 0.0000
0.0000 3.2445 0.0000
-0.2952 0.0000 6.7006
Nb H
4 16
Direct
0.1343 0.2500 0.3363
0.3475 0.2500 0.8151
0.6525 0.7500 0.1849
0.8657 0.7500 0.6637
0.0122 0.7500 0.2045
0.1415 0.7500 0.5113
0.1481 0.7500 0.8463
0.1693 0.2500 0.0581
0.3295 0.7500 0.2831
0.3780 0.2500 0.5435
0.3929 0.7500 0.9826
0.4796 0.7500 0.6985
0.5204 0.2500 0.3015
0.6071 0.2500 0.0174
0.6220 0.7500 0.4565
0.6705 0.2500 0.7169
0.8307 0.7500 0.9419
0.8519 0.2500 0.1537
0.8585 0.2500 0.4887
0.9878 0.2500 0.7955
```

Summary:
**Total moment**: 0.000 μB/atom

<two>
NbH4: optimized geometry, PBE.

Geometry as POSCAR:
```
NbH4
1.0
2.8053 -1.6109 0.0000
2.8053 1.6109 0.0000
-0.1728 0.0000 8.0450
Nb H
2 8
Direct
0.1629 0.1629 0.3481
0.8371 0.8371 0.6519
0.0549 0.3678 0.1145
0.1703 0.1650 0.5848
0.1769 0.0759 0.1028
0.4968 0.4894 0.2674
0.5106 0.5032 0.7326
0.6322 0.9451 0.8855
0.8350 0.8297 0.4152
0.9241 0.8231 0.8972
```

Summary:
**Total moment**: 0.000 μB/atom

<three>
NbH4: optimized geometry, PBE.

Geometry as POSCAR:
```
NbH4
1.0
1.7577 1.0148 5.2472
-1.7577 1.0148 5.2472
0.0000 -2.0297 5.2472
Nb H
2 8
Direct
0.0000 0.0000 0.0000
0.5000 0.5000 0.5000
0.0516 0.5656 0.5656
0.1470 0.1470 0.1470
0.4344 0.4344 0.9484
0.4344 0.9484 0.4344
0.5656 0.0516 0.5656
0.5656 0.5656 0.0516
0.8530 0.8530 0.8530
0.9484 0.4344 0.4344
```

Summary:
**Total moment**: 0.000 μB/atom

The structure with the least stability is <three>.